Record 1
Computed, not measured: crystalline Tb2AlZn3Cu12 at its relaxed geometry at the PBE level of DFT.

Calculated values
ΔH_f (0 K) in eV per atom: 0.02
Energy in eV/atom: -3.6478
Space group: No. 166

Cell lengths 6.5076, 6.5076, 6.5076 Å; angles 84.54, 84.54, 84.54 degrees
Last column: nearest neighbours and their distance in Å.
Element x y z (fractional)
Tb1 0.2065 0.2065 0.2065  9 Cu 2.84-2.90, 3 Zn 2.97
Tb2 0.7935 0.7935 0.7935  9 Cu 2.84-2.90, 3 Zn 2.97
Al1 0.5000 0.5000 0.5000  6 Cu 2.43
Zn1 0.0000 0.5000 0.5000  6 Cu 2.54-2.79
Zn2 0.5000 0.0000 0.5000  6 Cu 2.54-2.79
Zn3 0.5000 0.5000 0.0000  6 Cu 2.54-2.79
Cu1 0.0830 0.0830 0.6377  4 Cu 2.40-2.60
Cu2 0.0830 0.6377 0.0830  4 Cu 2.40-2.60
Cu3 0.2257 0.6969 0.6969  5 Cu 2.40-2.60, 1 Al 2.43, 1 Zn 2.54
Cu4 0.3031 0.3031 0.7743  5 Cu 2.40-2.60, 1 Al 2.43, 1 Zn 2.54
Cu5 0.3031 0.7743 0.3031  5 Cu 2.40-2.60, 1 Al 2.43, 1 Zn 2.54
Cu6 0.3623 0.9170 0.9170  4 Cu 2.40-2.60
Cu7 0.6377 0.0830 0.0830  4 Cu 2.40-2.60
Cu8 0.6969 0.2257 0.6969  5 Cu 2.40-2.60, 1 Al 2.43, 1 Zn 2.54
Cu9 0.6969 0.6969 0.2257  5 Cu 2.40-2.60, 1 Al 2.43, 1 Zn 2.54
Cu10 0.7743 0.3031 0.3031  5 Cu 2.40-2.60, 1 Al 2.43, 1 Zn 2.54
Cu11 0.9170 0.3623 0.9170  4 Cu 2.40-2.60
Cu12 0.9170 0.9170 0.3623  4 Cu 2.40-2.60

Record 2
Computed, not measured: crystalline TbZrAlCu at its relaxed geometry at the PBE level of DFT.

Calculated values
ΔH_f (0 K) in eV per atom: -0.19
Energy in eV/atom: -5.4460
Space group: No. 216

Cell lengths 6.9129, 6.9129, 6.9129 Å; angles 90.00, 90.00, 90.00 degrees
Last column: nearest neighbours and their distance in Å.
Element x y z (fractional)
Tb1 0.0000 0.0000 0.0000  4 Al 2.99, 4 Cu 2.99
Tb2 0.0000 0.5000 0.5000  4 Al 2.99, 4 Cu 2.99
Tb3 0.5000 0.0000 0.5000  4 Al 2.99, 4 Cu 2.99
Tb4 0.5000 0.5000 0.0000  4 Al 2.99, 4 Cu 2.99
Zr1 0.0000 0.0000 0.5000  4 Al 2.99, 4 Cu 2.99
Zr2 0.0000 0.5000 0.0000  4 Al 2.99, 4 Cu 2.99
Zr3 0.5000 0.0000 0.0000  4 Al 2.99, 4 Cu 2.99
Zr4 0.5000 0.5000 0.5000  4 Al 2.99, 4 Cu 2.99
Al1 0.2500 0.2500 0.2500  4 Zr 2.99, 4 Tb 2.99
Al2 0.2500 0.7500 0.7500  4 Zr 2.99, 4 Tb 2.99
Al3 0.7500 0.2500 0.7500  4 Zr 2.99, 4 Tb 2.99
Al4 0.7500 0.7500 0.2500  4 Zr 2.99, 4 Tb 2.99
Cu1 0.2500 0.2500 0.7500  4 Zr 2.99, 4 Tb 2.99
Cu2 0.2500 0.7500 0.2500  4 Zr 2.99, 4 Tb 2.99
Cu3 0.7500 0.2500 0.2500  4 Zr 2.99, 4 Tb 2.99
Cu4 0.7500 0.7500 0.7500  4 Zr 2.99, 4 Tb 2.99

Record 3
Computed, not measured: crystalline AlCu3Tc at its relaxed geometry at the PBE level of DFT.

Calculated values
Distance to the lowest polymorph of the same formula in eV/atom: 0.000
ΔH_f (0 K) in eV per atom: 1.08
Energy in eV/atom: -4.2043
Space group: No. 221

Cell lengths 4.3401, 4.3401, 4.3401 Å; angles 90.00, 90.00, 90.00 degrees
Last column: nearest neighbours and their distance in Å.
Element x y z (fractional)
Al1 0.0000 0.0000 0.0000  6 Cu 2.17
Cu1 0.0000 0.0000 0.5000  2 Al 2.17
Cu2 0.0000 0.5000 0.0000  2 Al 2.17
Cu3 0.5000 0.0000 0.0000  2 Al 2.17
Tc1 0.5000 0.5000 0.5000  12 Cu 3.07

Record 4
Computed, not measured: crystalline AlCuTc at its relaxed geometry at the PBE level of DFT.

Calculated values
Distance to the lowest polymorph of the same formula in eV/atom: 0.000
ΔH_f (0 K) in eV per atom: -0.07
Energy in eV/atom: -6.1415
Space group: No. 187

Cell lengths 4.1945, 4.1945, 2.7006 Å; angles 90.00, 90.00, 120.00 degrees
Last column: nearest neighbours and their distance in Å.
Element x y z (fractional)
Al1 0.0000 0.0000 0.0000  3 Cu 2.42, 2 Al 2.70
Cu1 0.6667 0.3333 0.0000  3 Al 2.42, 2 Cu 2.70
Tc1 0.3333 0.6667 0.5000  2 Tc 2.70, 6 Al 2.77, 6 Cu 2.77

Record 5
Computed, not measured: crystalline Al2CuTc at its relaxed geometry at the PBE level of DFT.

Calculated values
Distance to the lowest polymorph of the same formula in eV/atom: 0.266
ΔH_f (0 K) in eV per atom: -0.12
Energy in eV/atom: -5.6026
Space group: No. 99

Cell lengths 3.2731, 3.2731, 5.3372 Å; angles 90.00, 90.00, 90.00 degrees
Last column: nearest neighbours and their distance in Å.
Element x y z (fractional)
Al1 0.0000 0.0000 0.0000  4 Tc 2.56, 2 Cu 2.61-2.73, 4 Al 2.80
Al2 0.5000 0.5000 0.2946  4 Cu 2.59, 2 Tc 2.67, 4 Al 2.80
Cu1 0.0000 0.0000 0.5115  6 Al 2.59-2.73, 4 Tc 2.76
Tc1 0.5000 0.5000 0.7941  6 Al 2.56-2.67, 4 Cu 2.76

Record 6
Computed, not measured: crystalline Al2CuTc at its relaxed geometry at the PBE level of DFT.

Calculated values
Distance to the lowest polymorph of the same formula in eV/atom: 0.357
ΔH_f (0 K) in eV per atom: -0.02
Energy in eV/atom: -5.5113
Space group: No. 216

Cell lengths 6.0717, 6.0717, 6.0717 Å; angles 90.00, 90.00, 90.00 degrees
Last column: nearest neighbours and their distance in Å.
Element x y z (fractional)
Al1 0.0000 0.0000 0.0000  4 Tc 2.63, 4 Al 2.63
Al2 0.0000 0.5000 0.5000  4 Tc 2.63, 4 Al 2.63
Al3 0.2500 0.2500 0.2500  4 Al 2.63, 4 Cu 2.63
Al4 0.2500 0.7500 0.7500  4 Al 2.63, 4 Cu 2.63
Al5 0.5000 0.0000 0.5000  4 Tc 2.63, 4 Al 2.63
Al6 0.5000 0.5000 0.0000  4 Tc 2.63, 4 Al 2.63
Al7 0.7500 0.2500 0.7500  4 Al 2.63, 4 Cu 2.63
Al8 0.7500 0.7500 0.2500  4 Cu 2.63, 4 Al 2.63
Cu1 0.0000 0.0000 0.5000  4 Tc 2.63, 4 Al 2.63
Cu2 0.0000 0.5000 0.0000  4 Tc 2.63, 4 Al 2.63
Cu3 0.5000 0.0000 0.0000  4 Tc 2.63, 4 Al 2.63
Cu4 0.5000 0.5000 0.5000  4 Tc 2.63, 4 Al 2.63
Tc1 0.2500 0.2500 0.7500  4 Al 2.63, 4 Cu 2.63
Tc2 0.2500 0.7500 0.2500  4 Al 2.63, 4 Cu 2.63
Tc3 0.7500 0.2500 0.2500  4 Al 2.63, 4 Cu 2.63
Tc4 0.7500 0.7500 0.7500  4 Al 2.63, 4 Cu 2.63

Record 7
Computed, not measured: crystalline Al2Cu2Tc at its relaxed geometry at the PBE level of DFT.

Calculated values
Distance to the lowest polymorph of the same formula in eV/atom: 0.000
ΔH_f (0 K) in eV per atom: -0.12
Energy in eV/atom: -5.3262
Space group: No. 127

Cell lengths 7.0426, 7.0426, 2.7110 Å; angles 90.00, 90.00, 90.00 degrees
Last column: nearest neighbours and their distance in Å.
Element x y z (fractional)
Al1 0.1775 0.3225 0.0000  6 Cu 2.42-2.53
Al2 0.3225 0.8225 0.0000  6 Cu 2.42-2.53
Al3 0.6775 0.1775 0.0000  6 Cu 2.42-2.53
Al4 0.8225 0.6775 0.0000  6 Cu 2.42-2.53
Cu1 0.1214 0.6214 0.5000  1 Cu 2.42, 6 Al 2.42-2.53
Cu2 0.3786 0.1214 0.5000  1 Cu 2.42, 6 Al 2.42-2.53
Cu3 0.6214 0.8786 0.5000  1 Cu 2.42, 6 Al 2.42-2.53
Cu4 0.8786 0.3786 0.5000  1 Cu 2.42, 6 Al 2.42-2.53
Tc1 0.0000 0.0000 0.5000  2 Tc 2.71, 4 Cu 2.80, 8 Al 2.93
Tc2 0.5000 0.5000 0.5000  2 Tc 2.71, 4 Cu 2.80, 8 Al 2.93

Record 8
Computed, not measured: crystalline Al2CuTc at its relaxed geometry at the PBE level of DFT.

Calculated values
Distance to the lowest polymorph of the same formula in eV/atom: 0.116
ΔH_f (0 K) in eV per atom: -0.27
Energy in eV/atom: -5.7529
Space group: No. 71

Cell lengths 3.6666, 3.8620, 7.8712 Å; angles 90.00, 90.00, 90.00 degrees
Last column: nearest neighbours and their distance in Å.
Element x y z (fractional)
Al1 0.0000 0.0000 0.2482  4 Al 2.66, 4 Cu 2.68-2.77, 4 Tc 2.70-2.75
Al2 0.0000 0.0000 0.7518  4 Al 2.66, 4 Cu 2.68-2.77, 4 Tc 2.70-2.75
Al3 0.5000 0.5000 0.2518  4 Al 2.66, 4 Cu 2.68-2.77, 4 Tc 2.70-2.75
Al4 0.5000 0.5000 0.7482  4 Al 2.66, 4 Cu 2.68-2.77, 4 Tc 2.70-2.75
Cu1 0.0000 0.5000 0.5000  4 Tc 2.66, 8 Al 2.68-2.77
Cu2 0.5000 0.0000 0.0000  4 Tc 2.66, 8 Al 2.68-2.77
Tc1 0.0000 0.5000 0.0000  4 Cu 2.66, 8 Al 2.70-2.75
Tc2 0.5000 0.0000 0.5000  4 Cu 2.66, 8 Al 2.70-2.75

Total magnetic moment across the listed records, respectively: 0.000 1.638 2.569 0.000 0.011 0.000 0.000 0.422 μB/cell.